Compound: LiMgHgF6
Source: Alexandria via LeMat-Bulk
Functional: PBE-GGA
Structure: relaxed

a b c (Å): 5.2645 5.2645 9.3673
angles (deg): 90.00 90.00 120.00
Element x y z (fractional)
Li: 0.3333 0.6667 0.2500
Li: 0.6667 0.3333 0.7500
Mg: 0.3333 0.6667 0.7500
Mg: 0.6667 0.3333 0.2500
Hg: 0.0000 0.0000 0.0000
Hg: 0.0000 0.0000 0.5000
F: 0.0043 0.3525 0.6360
F: 0.0043 0.6518 0.8640
F: 0.3482 0.3525 0.8640
F: 0.3482 0.9957 0.6360
F: 0.3525 0.0043 0.1360
F: 0.3525 0.3482 0.3640
F: 0.6475 0.6518 0.6360
F: 0.6475 0.9957 0.8640
F: 0.6518 0.0043 0.3640
F: 0.6518 0.6475 0.1360
F: 0.9957 0.3482 0.1360
F: 0.9957 0.6475 0.3640

Calculated values
Raw formation energy ... -2.30 eV per atom
Density of states at the Fermi level ... 8.185 states/eV per cell

---

Compound: LiMg2HgF8
Source: Alexandria via LeMat-Bulk
Functional: PBE-GGA
Structure: relaxed

a b c (Å): 4.9278 6.2547 4.9732
angles (deg): 90.00 91.93 90.00
Element x y z (fractional)
Li: 0.0000 0.0000 0.0000
Mg: 0.5000 0.2392 0.5000
Mg: 0.5000 0.7608 0.5000
Hg: 0.0000 0.5000 0.0000
F: 0.2084 0.2361 0.1975
F: 0.2084 0.7639 0.1975
F: 0.3110 0.0000 0.6816
F: 0.3228 0.5000 0.6658
F: 0.6772 0.5000 0.3342
F: 0.6890 0.0000 0.3184
F: 0.7916 0.2361 0.8025
F: 0.7916 0.7639 0.8025

Calculated values
Raw formation energy ... -2.60 eV per atom
Density of states at the Fermi level ... 2.551 states/eV per cell

---

Compound: Li2MgHgF
Source: Alexandria via LeMat-Bulk
Functional: PBE-GGA
Structure: relaxed

a b c (Å): 4.0999 4.0999 4.3878
angles (deg): 90.00 90.00 90.00
Element x y z (fractional)
Li: 0.0000 0.5000 0.0000
Li: 0.5000 0.0000 0.0000
Mg: 0.0000 0.0000 0.5000
Hg: 0.5000 0.5000 0.5000
F: 0.0000 0.0000 0.0000

Calculated values
Raw formation energy ... -1.18 eV per atom
Density of states at the Fermi level ... 0.864 states/eV per cell